DFT (PBE-GGA) results for an optimized crystal structure of Np2CrB2Ru5.

Summary:
Magnetic moment: 7.159 μB/f.u.
SG: No. 127
ΔH_f (0 K): -2.199 eV/f.u.
D(E_F): 27.729 states/eV per cell

The structure in POSCAR format:
```
Np2CrB2Ru5
1.0
3.0377 0.0000 0.0000
0.0000 9.6357 0.0000
0.0000 0.0000 9.6357
Ru Np B Cr
10 4 4 2
direct
0.5000 0.2183 0.0695 Ru
0.5000 0.0000 0.5000 Ru
0.5000 0.5000 0.0000 Ru
0.5000 0.2817 0.5695 Ru
0.5000 0.9305 0.2183 Ru
0.5000 0.7817 0.9305 Ru
0.5000 0.5695 0.7183 Ru
0.5000 0.4305 0.2817 Ru
0.5000 0.7183 0.4305 Ru
0.5000 0.0695 0.7817 Ru
0.0000 0.6785 0.1785 Np
0.0000 0.1785 0.3215 Np
0.0000 0.3215 0.8215 Np
0.0000 0.8215 0.6785 Np
0.0000 0.1212 0.6212 B
0.0000 0.6212 0.8788 B
0.0000 0.8788 0.3788 B
0.0000 0.3788 0.1212 B
0.0000 0.0000 0.0000 Cr
0.0000 0.5000 0.5000 Cr
```